(1)
Ac2Tb2HoHg5 PBE relaxed; mass density = 10.86 g/cm³; VASP energy = -2.704 eV per atom
1.0
12.1951 0.0000 0.0000
0.0000 12.1951 0.0000
0.0000 0.0000 3.9896
Ac Tb Ho Hg
4 4 2 10
direct
0.1715 0.3285 0.0000
0.3285 0.8285 0.0000
0.6715 0.1715 0.0000
0.8285 0.6715 0.0000
0.1315 0.6315 0.0000
0.3685 0.1315 0.0000
0.6315 0.8685 0.0000
0.8685 0.3685 0.0000
0.0000 0.0000 0.0000
0.5000 0.5000 0.0000
0.0000 0.5000 0.5000
0.0819 0.8219 0.5000
0.1781 0.0819 0.5000
0.3219 0.5819 0.5000
0.4181 0.3219 0.5000
0.5000 0.0000 0.5000
0.5819 0.6781 0.5000
0.6781 0.4181 0.5000
0.8219 0.9181 0.5000
0.9181 0.1781 0.5000



(2)
AcTbHoHg PBE relaxed; mass density = 10.21 g/cm³; VASP energy = -3.350 eV per atom
1.0
0.0000 3.9389 3.9389
3.9389 0.0000 3.9389
3.9389 3.9389 0.0000
Ac Tb Ho Hg
1 1 1 1
direct
0.0000 0.0000 0.0000
0.2500 0.2500 0.2500
0.7500 0.7500 0.7500
0.5000 0.5000 0.5000



(3)
Ac2TbHo2Hg5 PBE relaxed; mass density = 10.95 g/cm³; VASP energy = -2.702 eV per atom
1.0
12.1338 0.0000 0.0000
0.0000 12.1338 0.0000
0.0000 0.0000 4.0082
Ac Tb Ho Hg
4 2 4 10
direct
0.1727 0.3273 0.0000
0.3273 0.8273 0.0000
0.6727 0.1727 0.0000
0.8273 0.6727 0.0000
0.0000 0.0000 0.0000
0.5000 0.5000 0.0000
0.1293 0.6293 0.0000
0.3707 0.1293 0.0000
0.6293 0.8707 0.0000
0.8707 0.3707 0.0000
0.0000 0.5000 0.5000
0.0787 0.8170 0.5000
0.1830 0.0787 0.5000
0.3170 0.5787 0.5000
0.4213 0.3170 0.5000
0.5000 0.0000 0.5000
0.5787 0.6830 0.5000
0.6830 0.4213 0.5000
0.8170 0.9213 0.5000
0.9213 0.1830 0.5000



(4)
AcHo2Tl2Hg2 PBE relaxed; mass density = 11.06 g/cm³; VASP energy = -2.914 eV per atom
1.0
2.5296 1.4605 9.2540
-2.5296 1.4605 9.2540
0.0000 -2.9209 9.2540
Ac Ho Tl Hg
1 2 2 2
direct
0.0000 0.0000 0.0000
0.1351 0.1351 0.1351
0.8649 0.8649 0.8649
0.2635 0.2635 0.2635
0.7365 0.7365 0.7365
0.4408 0.4408 0.4408
0.5592 0.5592 0.5592



(5)
AcHoTmHg PBE relaxed; mass density = 10.51 g/cm³; VASP energy = -3.285 eV per atom
1.0
0.0000 3.9176 3.9176
3.9176 0.0000 3.9176
3.9176 3.9176 0.0000
Ac Ho Tm Hg
1 1 1 1
direct
0.0000 0.0000 0.0000
0.2500 0.2500 0.2500
0.7500 0.7500 0.7500
0.5000 0.5000 0.5000



(6)
AcHo2TmHg4 PBE relaxed; mass density = 11.51 g/cm³; VASP energy = -2.810 eV per atom
1.0
2.6339 1.5207 9.1724
-2.6339 1.5207 9.1724
0.0000 -3.0413 9.1724
Ac Ho Tm Hg
1 2 1 4
direct
0.0000 0.0000 0.0000
0.2439 0.2439 0.2439
0.7561 0.7561 0.7561
0.5000 0.5000 0.5000
0.1286 0.1286 0.1286
0.3871 0.3871 0.3871
0.6129 0.6129 0.6129
0.8714 0.8714 0.8714



(7)
Ac2HoTmHg6 PBE relaxed; mass density = 9.63 g/cm³; VASP energy = -1.900 eV per atom
1.0
0.0000 5.5589 5.5589
5.5589 0.0000 5.5589
5.5589 5.5589 0.0000
Ac Ho Tm Hg
2 1 1 6
direct
0.2500 0.2500 0.2500
0.7500 0.7500 0.7500
0.0000 0.0000 0.0000
0.5000 0.5000 0.5000
0.2509 0.2509 0.7491
0.2509 0.7491 0.2509
0.2509 0.7491 0.7491
0.7491 0.2509 0.2509
0.7491 0.2509 0.7491
0.7491 0.7491 0.2509



(8)
Ac2Ho2TmHg5 PBE relaxed; mass density = 11.12 g/cm³; VASP energy = -2.684 eV per atom
1.0
12.1883 0.0000 0.0000
0.0000 12.1883 0.0000
0.0000 0.0000 3.9305
Ac Ho Tm Hg
4 4 2 10
direct
0.1722 0.3278 0.0000
0.3278 0.8278 0.0000
0.6722 0.1722 0.0000
0.8278 0.6722 0.0000
0.1309 0.6309 0.0000
0.3691 0.1309 0.0000
0.6309 0.8691 0.0000
0.8691 0.3691 0.0000
0.0000 0.0000 0.0000
0.5000 0.5000 0.0000
0.0000 0.5000 0.5000
0.0789 0.8205 0.5000
0.1795 0.0789 0.5000
0.3205 0.5789 0.5000
0.4211 0.3205 0.5000
0.5000 0.0000 0.5000
0.5789 0.6795 0.5000
0.6795 0.4211 0.5000
0.8205 0.9211 0.5000
0.9211 0.1795 0.5000



(9)
AcYHoHg PBE relaxed; mass density = 9.25 g/cm³; VASP energy = -3.807 eV per atom
1.0
0.0000 3.9395 3.9395
3.9395 0.0000 3.9395
3.9395 3.9395 0.0000
Ac Y Ho Hg
1 1 1 1
direct
0.0000 0.0000 0.0000
0.2500 0.2500 0.2500
0.7500 0.7500 0.7500
0.5000 0.5000 0.5000



(10)
Ac2YHo2Hg5 PBE relaxed; mass density = 10.58 g/cm³; VASP energy = -2.890 eV per atom
1.0
12.1286 0.0000 0.0000
0.0000 12.1286 0.0000
0.0000 0.0000 4.0027
Ac Y Ho Hg
4 2 4 10
direct
0.1727 0.3273 0.0000
0.3273 0.8273 0.0000
0.6727 0.1727 0.0000
0.8273 0.6727 0.0000
0.0000 0.0000 0.0000
0.5000 0.5000 0.0000
0.1296 0.6296 0.0000
0.3704 0.1296 0.0000
0.6296 0.8704 0.0000
0.8704 0.3704 0.0000
0.0000 0.5000 0.5000
0.0785 0.8172 0.5000
0.1828 0.0785 0.5000
0.3172 0.5785 0.5000
0.4215 0.3172 0.5000
0.5000 0.0000 0.5000
0.5785 0.6828 0.5000
0.6828 0.4215 0.5000
0.8172 0.9215 0.5000
0.9215 0.1828 0.5000



(11)
AcHoZnHg PBE relaxed; mass density = 9.69 g/cm³; energy above the most stable polymorph in this dataset = 54.2 meV/atom
1.0
0.0000 3.8343 3.8343
3.8343 0.0000 3.8343
3.8343 3.8343 0.0000
Ac Ho Zn Hg
1 1 1 1
direct
0.0000 0.0000 0.0000
0.5000 0.5000 0.5000
0.2500 0.2500 0.2500
0.7500 0.7500 0.7500



(12)
AcHoZnHg PBE relaxed; mass density = 9.96 g/cm³; energy above the most stable polymorph in this dataset = 0.0 meV/atom
1.0
3.7528 0.0000 0.0000
0.0000 3.7528 0.0000
0.0000 0.0000 7.7873
Ac Ho Zn Hg
1 1 1 1
direct
0.0000 0.0000 0.0000
0.0000 0.0000 0.4721
0.5000 0.5000 0.2713
0.5000 0.5000 0.6969



(13)
AcHgI PBE relaxed; mass density = 7.40 g/cm³; energy above the most stable polymorph in this dataset = 0.0 meV/atom
1.0
4.2097 -2.4317 0.0000
4.2097 2.4317 0.0000
-0.0581 0.0000 12.1590
Ac Hg I
2 2 2
direct
0.0011 0.0011 0.1735
0.9989 0.9989 0.8265
0.3334 0.3334 0.0181
0.6666 0.6666 0.9819
0.3311 0.3311 0.6558
0.6689 0.6689 0.3442



(14)
AcHg2I6 PBE relaxed; mass density = 4.48 g/cm³; VASP energy = -2.296 eV per atom
1.0
8.0635 -7.4413 0.0000
8.0635 7.4413 0.0000
-3.6318 0.0000 8.5795
Ac Hg I
2 4 12
direct
0.0681 0.9319 0.7500
0.9319 0.0681 0.2500
0.3116 0.5074 0.8409
0.4926 0.6884 0.6591
0.5074 0.3116 0.3409
0.6884 0.4926 0.1591
0.0430 0.1931 0.6329
0.0766 0.6523 0.8154
0.1931 0.0430 0.1329
0.3317 0.4201 0.5183
0.3477 0.9234 0.6846
0.4201 0.3317 0.0183
0.5799 0.6683 0.9817
0.6523 0.0766 0.3154
0.6683 0.5799 0.4817
0.8069 0.9570 0.8671
0.9234 0.3477 0.1846
0.9570 0.8069 0.3671



(15)
AcHgI3 PBE relaxed; mass density = 4.88 g/cm³; VASP energy = -2.953 eV per atom
1.0
6.5043 0.0000 0.0000
0.0000 6.5043 0.0000
0.0000 0.0000 6.5043
Ac Hg I
1 1 3
direct
0.0000 0.0000 0.0000
0.5000 0.5000 0.5000
0.0000 0.0000 0.5000
0.0000 0.5000 0.0000
0.5000 0.0000 0.0000



(16)
Ac6Hg5I PBE relaxed; mass density = 10.23 g/cm³; VASP energy = -2.810 eV per atom
1.0
5.7511 0.0000 0.0000
0.0008 8.1271 0.0000
2.8621 4.0564 8.6574
Ac Hg I
6 5 1
direct
0.9997 0.2459 0.0004
0.0003 0.7541 0.9996
0.3319 0.0793 0.3363
0.3322 0.5841 0.3360
0.6678 0.4159 0.6640
0.6681 0.9207 0.6637
0.1668 0.1671 0.6667
0.1705 0.6705 0.6591
0.5000 0.0000 0.0000
0.8295 0.3295 0.3409
0.8332 0.8329 0.3333
0.5000 0.5000 0.0000



(17)
Ac4HgI5 PBE relaxed; mass density = 6.41 g/cm³; VASP energy = -3.562 eV per atom
1.0
10.3110 -2.2735 0.0000
10.3110 2.2735 0.0000
-1.9814 0.0000 9.6278
Ac Hg I
4 1 5
direct
0.0010 0.0010 0.2285
0.3419 0.3419 0.9279
0.6581 0.6581 0.0721
0.9990 0.9990 0.7715
0.5000 0.5000 0.0000
0.1688 0.1688 0.3327
0.1715 0.1715 0.8166
0.5000 0.5000 0.5000
0.8285 0.8285 0.1834
0.8312 0.8312 0.6673



(18)
AcHgI2 PBE relaxed; mass density = 6.73 g/cm³; energy above the most stable polymorph in this dataset = 0.0 meV/atom
1.0
4.0563 0.0000 0.0000
0.0000 4.0563 0.0000
0.0000 0.0000 10.2215
Ac Hg I
1 1 2
direct
0.0000 0.0000 0.0000
0.0000 0.0000 0.5000
0.5000 0.5000 0.1908
0.5000 0.5000 0.8092



(19)
AcHgI2 PBE relaxed; mass density = 5.37 g/cm³; energy above the most stable polymorph in this dataset = 47.8 meV/atom
1.0
2.1840 1.2609 12.7611
-2.1840 1.2609 12.7611
0.0000 -2.5219 12.7611
Ac Hg I
1 1 2
direct
0.0000 0.0000 0.0000
0.5000 0.5000 0.5000
0.3912 0.3912 0.3912
0.6088 0.6088 0.6088



(20)
AcHgI PBE relaxed; mass density = 8.37 g/cm³; energy above the most stable polymorph in this dataset = 239.4 meV/atom
1.0
-2.0797 2.0797 6.3553
2.0797 -2.0797 6.3553
2.0797 2.0797 -6.3553
Ac Hg I
1 1 1
direct
0.0000 0.0000 0.0000
0.3636 0.3636 0.0000
0.6566 0.6566 0.0000